Record 1
Tb2Nd7Th2 after structural relaxation, computed with PBE.

Properties
- excess energy over the best structure of this formula in the dataset (meV per atom) = 0
- size of the total moment (μB/cell) = 0.00
- electronic total energy (eV per atom) = -5.05
- volume (Å³/atom) = 34.5
- formation enthalpy at 0 K (kJ/mol of atoms) = 16.8

Unit cell a=11.3801 b=11.6243 c=6.1930 alpha=90.00 beta=112.26 gamma=90.00
Space group C2/m (No. 12)
Asymmetric unit:
Tb (0.0000, 0.2232, 0.0000)
Nd (0.0000, 0.0000, 0.5000)
Nd (0.1759, 0.2384, 0.6700)
Nd (0.2344, 0.0000, 0.0869)
Th (0.0762, 0.5000, 0.3030)

Record 2
UTcRh after structural relaxation, computed with PBE.

Properties
- excess energy over the best structure of this formula in the dataset (meV per atom) = 0
- size of the total moment (μB/cell) = 0.00
- electronic total energy (eV per atom) = -9.80
- volume (Å³/atom) = 17.5
- formation enthalpy at 0 K (kJ/mol of atoms) = -12.7

Unit cell a=3.4086 b=3.4086 c=9.0124 alpha=90.00 beta=90.00 gamma=90.00
Space group I4mm (No. 107)
Asymmetric unit:
U (0.0000, 0.0000, 0.0000)
Tc (0.0000, 0.0000, 0.6357)
Rh (0.0000, 0.0000, 0.3260)

Record 3
BaGa2Au5 after structural relaxation, computed with PBE.

Properties
- size of the total moment (μB/cell) = 0.00
- electronic total energy (eV per atom) = -3.45
- volume (Å³/atom) = 22.0
- formation enthalpy at 0 K (kJ/mol of atoms) = -38.7

Unit cell a=4.4734 b=7.2463 c=10.8519 alpha=90.00 beta=90.00 gamma=90.00
Space group Immm (No. 71)
Asymmetric unit:
Ba (0.0000, 0.0000, 0.0000)
Ga (0.0000, 0.5000, 0.2403)
Au (0.0000, 0.1956, 0.3590)
Au (0.0000, 0.5000, 0.0000)